A geometry-optimized RbMgNb structure. Source: Alexandria, functional PBE.

Cell: 5.799 5.799 6.561 Å, 90.00 90.00 120.00°
Fractional positions:
Mg: 0.667 0.333 0.500
Mg: 0.333 0.667 0.000
Rb: 0.000 0.000 0.250
Rb: 0.000 0.000 0.750
Nb: 0.667 0.333 0.000
Nb: 0.333 0.667 0.500

Results
The energy above the most stable polymorph in this dataset comes out at 299 kJ/mol of formula units. As for the space group: No. 194.

***

A geometry-optimized YTa2Se structure. Source: Alexandria, functional PBE.

Cell: 5.083 5.083 5.083 Å, 127.31 127.31 77.74°
Fractional positions:
Ta: 0.250 0.750 0.500
Ta: 0.000 0.000 0.000
Se: 0.750 0.250 0.500
Y: 0.500 0.500 0.000

Results
Its total energy is -8.189 eV per atom. As for the space group: No. 119.

***

A geometry-optimized Tm2ThScS4 structure. Source: Alexandria, functional PBE.

Cell: 3.835 6.700 6.752 Å, 70.98 90.00 90.00°
Fractional positions:
Sc: 0.000 0.500 0.500
S: 0.500 0.250 0.737
S: 0.000 0.240 0.267
S: 0.500 0.750 0.263
S: 0.000 0.760 0.733
Tm: 0.500 0.000 0.500
Tm: 0.000 0.000 0.000
Th: 0.500 0.500 0.000

Results
Its total energy is -6.751 eV per atom. As for the space group: No. 10.